1.
Below is a relaxed structure of Tb2DyHoSc4, with properties calculated at the PBE-GGA level.

```
data_Tb2DyHoSc4
_chemical_formula_sum 'Tb2 Dy1 Ho1 Sc4'
_symmetry_space_group_name_H-M 'P 1 2/m 1'
_symmetry_Int_Tables_number 10
_cell_length_a 5.926
_cell_length_b 3.418
_cell_length_c 11.141
_cell_angle_alpha 90.00
_cell_angle_beta 100.11
_cell_angle_gamma 90.00
loop_
_symmetry_equiv_pos_as_xyz
'x,y,z'
'-x,-y,-z'
'-x,y,-z'
'x,-y,z'
loop_
_atom_site_label
_atom_site_type_symbol
_atom_site_fract_x
_atom_site_fract_y
_atom_site_fract_z
_atom_site_occupancy
Tb1 Tb 0.000 0.000 0.000 1
Tb2 Tb 0.000 0.500 0.500 1
Dy1 Dy 0.500 0.000 0.500 1
Ho1 Ho 0.500 0.500 0.000 1
Sc1 Sc 0.250 0.000 0.750 1
Sc2 Sc 0.251 0.500 0.250 1
```

Its size of the total moment is 0.000 μB/f.u. As for the density of states at the Fermi level: 11.33 states/eV per cell. For the total energy, the calculation gives -5.4142 eV per atom. The calculation puts the formation enthalpy at 0 K at 0.0566 eV/atom.

2.
Below is a relaxed structure of Tb3Dy6Ho2Sc, with properties calculated at the PBE-GGA level.

```
data_Tb3Dy6Ho2Sc
_chemical_formula_sum 'Tb6 Dy12 Ho4 Sc2'
_symmetry_space_group_name_H-M 'C 1 2/m 1'
_symmetry_Int_Tables_number 12
_cell_length_a 6.102
_cell_length_b 10.560
_cell_length_c 11.663
_cell_angle_alpha 90.00
_cell_angle_beta 100.00
_cell_angle_gamma 90.00
loop_
_symmetry_equiv_pos_as_xyz
'x,y,z'
'-x,-y,-z'
'-x,y,-z'
'x,-y,z'
'x+1/2,y+1/2,z'
'-x+1/2,-y+1/2,-z'
'-x+1/2,y+1/2,-z'
'x+1/2,-y+1/2,z'
loop_
_atom_site_label
_atom_site_type_symbol
_atom_site_fract_x
_atom_site_fract_y
_atom_site_fract_z
_atom_site_occupancy
Tb1 Tb 0.000 0.000 0.000 1
Tb2 Tb 0.000 0.333 0.000 1
Dy1 Dy 0.247 0.335 0.747 1
Dy2 Dy 0.249 0.500 0.253 1
Ho1 Ho 0.000 0.166 0.500 1
Sc1 Sc 0.000 0.500 0.500 1
```

Its size of the total moment is 0.000 μB/f.u. As for the density of states at the Fermi level: 32.49 states/eV per cell. For the total energy, the calculation gives -4.7233 eV per atom. The calculation puts the formation enthalpy at 0 K at 0.0259 eV/atom.

3.
Below is a relaxed structure of Tb6Dy3Ho2Sc, with properties calculated at the PBE-GGA level.

```
data_Tb6Dy3Ho2Sc
_chemical_formula_sum 'Tb12 Dy6 Ho4 Sc2'
_symmetry_space_group_name_H-M 'C 1 2/m 1'
_symmetry_Int_Tables_number 12
_cell_length_a 6.111
_cell_length_b 10.577
_cell_length_c 11.667
_cell_angle_alpha 90.00
_cell_angle_beta 100.02
_cell_angle_gamma 90.00
loop_
_symmetry_equiv_pos_as_xyz
'x,y,z'
'-x,-y,-z'
'-x,y,-z'
'x,-y,z'
'x+1/2,y+1/2,z'
'-x+1/2,-y+1/2,-z'
'-x+1/2,y+1/2,-z'
'x+1/2,-y+1/2,z'
loop_
_atom_site_label
_atom_site_type_symbol
_atom_site_fract_x
_atom_site_fract_y
_atom_site_fract_z
_atom_site_occupancy
Tb1 Tb 0.248 0.165 0.247 1
Tb2 Tb 0.249 0.000 0.753 1
Dy1 Dy 0.000 0.166 0.500 1
Dy2 Dy 0.000 0.500 0.500 1
Ho1 Ho 0.000 0.333 0.000 1
Sc1 Sc 0.000 0.000 0.000 1
```

Its size of the total moment is 0.000 μB/f.u. As for the density of states at the Fermi level: 31.92 states/eV per cell. For the total energy, the calculation gives -4.7311 eV per atom. The calculation puts the formation enthalpy at 0 K at 0.0252 eV/atom.

4.
Below is a relaxed structure of Tb4Dy2HoSc, with properties calculated at the PBE-GGA level.

```
data_Tb4Dy2HoSc
_chemical_formula_sum 'Tb4 Dy2 Ho1 Sc1'
_symmetry_space_group_name_H-M 'P 4/m m m'
_symmetry_Int_Tables_number 123
_symmetry_space_group_name_Hall '-P 4 2'
_cell_length_a 4.976
_cell_length_b 4.976
_cell_length_c 9.904
_cell_angle_alpha 90.00
_cell_angle_beta 90.00
_cell_angle_gamma 90.00
loop_
_atom_site_label
_atom_site_type_symbol
_atom_site_fract_x
_atom_site_fract_y
_atom_site_fract_z
_atom_site_occupancy
Tb1 Tb 0.000 0.500 0.245 1
Dy1 Dy 0.000 0.000 0.000 1
Dy2 Dy 0.500 0.500 0.500 1
Ho1 Ho 0.000 0.000 0.500 1
Sc1 Sc 0.500 0.500 0.000 1
```

Its size of the total moment is 0.000 μB/f.u. As for the density of states at the Fermi level: 11.44 states/eV per cell. For the total energy, the calculation gives -4.8002 eV per atom. The calculation puts the formation enthalpy at 0 K at 0.0291 eV/atom.

5.
Below is a relaxed structure of Tb2DyHoSc5, with properties calculated at the PBE-GGA level.

```
data_Tb2DyHoSc5
_chemical_formula_sum 'Tb8 Dy4 Ho4 Sc20'
_symmetry_space_group_name_H-M 'C m c 21'
_symmetry_Int_Tables_number 36
_cell_length_a 5.327
_cell_length_b 18.503
_cell_length_c 10.335
_cell_angle_alpha 90.00
_cell_angle_beta 90.00
_cell_angle_gamma 90.00
loop_
_symmetry_equiv_pos_as_xyz
'x,y,z'
'-x,-y,z+1/2'
'-x,y,z'
'x,-y,z+1/2'
'x+1/2,y+1/2,z'
'-x+1/2,-y+1/2,z+1/2'
'-x+1/2,y+1/2,z'
'x+1/2,-y+1/2,z+1/2'
loop_
_atom_site_label
_atom_site_type_symbol
_atom_site_fract_x
_atom_site_fract_y
_atom_site_fract_z
_atom_site_occupancy
Tb1 Tb 0.000 0.108 0.000 1
Tb2 Tb 0.000 0.113 0.591 1
Dy1 Dy 0.000 0.418 0.730 1
Ho1 Ho 0.000 0.208 0.278 1
Sc1 Sc 0.000 0.020 0.301 1
Sc2 Sc 0.000 0.287 0.567 1
Sc3 Sc 0.000 0.299 0.979 1
Sc4 Sc 0.000 0.398 0.290 1
Sc5 Sc 0.000 0.479 0.003 1
```

Its size of the total moment is 0.003 μB/f.u. As for the density of states at the Fermi level: 63.61 states/eV per cell. For the total energy, the calculation gives -5.4016 eV per atom. The calculation puts the formation enthalpy at 0 K at 0.1649 eV/atom.

6.
Below is a relaxed structure of TbDy4HoSc2, with properties calculated at the PBE-GGA level.

```
data_TbDy4HoSc2
_chemical_formula_sum 'Tb4 Dy16 Ho4 Sc8'
_symmetry_space_group_name_H-M 'C 1 2/m 1'
_symmetry_Int_Tables_number 12
_cell_length_a 12.045
_cell_length_b 6.953
_cell_length_c 11.985
_cell_angle_alpha 90.00
_cell_angle_beta 109.60
_cell_angle_gamma 90.00
loop_
_symmetry_equiv_pos_as_xyz
'x,y,z'
'-x,-y,-z'
'-x,y,-z'
'x,-y,z'
'x+1/2,y+1/2,z'
'-x+1/2,-y+1/2,-z'
'-x+1/2,y+1/2,-z'
'x+1/2,-y+1/2,z'
loop_
_atom_site_label
_atom_site_type_symbol
_atom_site_fract_x
_atom_site_fract_y
_atom_site_fract_z
_atom_site_occupancy
Tb1 Tb 0.250 0.250 0.000 1
Dy1 Dy 0.002 0.248 0.253 1
Dy2 Dy 0.247 0.000 0.741 1
Dy3 Dy 0.250 0.000 0.253 1
Ho1 Ho 0.000 0.500 0.000 1
Ho2 Ho 0.000 0.500 0.500 1
Sc1 Sc 0.000 0.000 0.000 1
Sc2 Sc 0.000 0.000 0.500 1
Sc3 Sc 0.250 0.250 0.500 1
```

Its size of the total moment is 0.000 μB/f.u. As for the density of states at the Fermi level: 44.37 states/eV per cell. For the total energy, the calculation gives -4.9949 eV per atom. The calculation puts the formation enthalpy at 0 K at 0.0400 eV/atom.

7.
Below is a relaxed structure of Tb5DyHo2Sc, with properties calculated at the PBE-GGA level.

```
data_Tb5DyHo2Sc
_chemical_formula_sum 'Tb20 Dy4 Ho8 Sc4'
_symmetry_space_group_name_H-M 'C m c 21'
_symmetry_Int_Tables_number 36
_cell_length_a 5.525
_cell_length_b 19.905
_cell_length_c 10.350
_cell_angle_alpha 90.00
_cell_angle_beta 90.00
_cell_angle_gamma 90.00
loop_
_symmetry_equiv_pos_as_xyz
'x,y,z'
'-x,-y,z+1/2'
'-x,y,z'
'x,-y,z+1/2'
'x+1/2,y+1/2,z'
'-x+1/2,-y+1/2,z+1/2'
'-x+1/2,y+1/2,z'
'x+1/2,-y+1/2,z+1/2'
loop_
_atom_site_label
_atom_site_type_symbol
_atom_site_fract_x
_atom_site_fract_y
_atom_site_fract_z
_atom_site_occupancy
Tb1 Tb 0.000 0.017 0.000 1
Tb2 Tb 0.000 0.124 0.280 1
Tb3 Tb 0.000 0.200 0.965 1
Tb4 Tb 0.000 0.224 0.579 1
Tb5 Tb 0.000 0.483 0.275 1
Dy1 Dy 0.000 0.092 0.716 1
Ho1 Ho 0.000 0.386 0.996 1
Ho2 Ho 0.000 0.388 0.570 1
Sc1 Sc 0.000 0.305 0.274 1
```

Its size of the total moment is 0.001 μB/f.u. As for the density of states at the Fermi level: 59.64 states/eV per cell. For the total energy, the calculation gives -4.6399 eV per atom. The calculation puts the formation enthalpy at 0 K at 0.1646 eV/atom.

8.
Below is a relaxed structure of Tb2DyHo2Sc2, with properties calculated at the PBE-GGA level.

```
data_Tb2DyHo2Sc2
_chemical_formula_sum 'Tb4 Dy2 Ho4 Sc4'
_symmetry_space_group_name_H-M 'C 1 2/m 1'
_symmetry_Int_Tables_number 12
_cell_length_a 11.258
_cell_length_b 3.414
_cell_length_c 11.503
_cell_angle_alpha 90.00
_cell_angle_beta 108.92
_cell_angle_gamma 90.00
loop_
_symmetry_equiv_pos_as_xyz
'x,y,z'
'-x,-y,-z'
'-x,y,-z'
'x,-y,z'
'x+1/2,y+1/2,z'
'-x+1/2,-y+1/2,-z'
'-x+1/2,y+1/2,-z'
'x+1/2,-y+1/2,z'
loop_
_atom_site_label
_atom_site_type_symbol
_atom_site_fract_x
_atom_site_fract_y
_atom_site_fract_z
_atom_site_occupancy
Tb1 Tb 0.171 0.000 0.087 1
Dy1 Dy 0.000 0.500 0.500 1
Ho1 Ho 0.048 0.000 0.768 1
Sc1 Sc 0.227 0.500 0.366 1
```

Its size of the total moment is 0.002 μB/f.u. As for the density of states at the Fermi level: 25.25 states/eV per cell. For the total energy, the calculation gives -4.9890 eV per atom. The calculation puts the formation enthalpy at 0 K at 0.1083 eV/atom.

9.
Below is a relaxed structure of Tb2Dy6Ho3Sc, with properties calculated at the PBE-GGA level.

```
data_Tb2Dy6Ho3Sc
_chemical_formula_sum 'Tb4 Dy12 Ho6 Sc2'
_symmetry_space_group_name_H-M 'C 1 2/m 1'
_symmetry_Int_Tables_number 12
_cell_length_a 6.094
_cell_length_b 10.546
_cell_length_c 11.658
_cell_angle_alpha 90.00
_cell_angle_beta 99.99
_cell_angle_gamma 90.00
loop_
_symmetry_equiv_pos_as_xyz
'x,y,z'
'-x,-y,-z'
'-x,y,-z'
'x,-y,z'
'x+1/2,y+1/2,z'
'-x+1/2,-y+1/2,-z'
'-x+1/2,y+1/2,-z'
'x+1/2,-y+1/2,z'
loop_
_atom_site_label
_atom_site_type_symbol
_atom_site_fract_x
_atom_site_fract_y
_atom_site_fract_z
_atom_site_occupancy
Tb1 Tb 0.000 0.167 0.000 1
Dy1 Dy 0.248 0.335 0.248 1
Dy2 Dy 0.248 0.500 0.751 1
Ho1 Ho 0.000 0.000 0.500 1
Ho2 Ho 0.000 0.334 0.500 1
Sc1 Sc 0.000 0.500 0.000 1
```

Its size of the total moment is 0.000 μB/f.u. As for the density of states at the Fermi level: 32.31 states/eV per cell. For the total energy, the calculation gives -4.7193 eV per atom. The calculation puts the formation enthalpy at 0 K at 0.0256 eV/atom.

10.
Below is a relaxed structure of Tb6Dy2HoSc3, with properties calculated at the PBE-GGA level.

```
data_Tb6Dy2HoSc3
_chemical_formula_sum 'Tb12 Dy4 Ho2 Sc6'
_symmetry_space_group_name_H-M 'C 1 2/m 1'
_symmetry_Int_Tables_number 12
_cell_length_a 6.053
_cell_length_b 10.476
_cell_length_c 11.446
_cell_angle_alpha 90.00
_cell_angle_beta 100.12
_cell_angle_gamma 90.00
loop_
_symmetry_equiv_pos_as_xyz
'x,y,z'
'-x,-y,-z'
'-x,y,-z'
'x,-y,z'
'x+1/2,y+1/2,z'
'-x+1/2,-y+1/2,-z'
'-x+1/2,y+1/2,-z'
'x+1/2,-y+1/2,z'
loop_
_atom_site_label
_atom_site_type_symbol
_atom_site_fract_x
_atom_site_fract_y
_atom_site_fract_z
_atom_site_occupancy
Tb1 Tb 0.247 0.000 0.241 1
Tb2 Tb 0.247 0.333 0.241 1
Dy1 Dy 0.000 0.333 0.500 1
Ho1 Ho 0.000 0.000 0.500 1
Sc1 Sc 0.000 0.167 0.000 1
Sc2 Sc 0.000 0.500 0.000 1
```

Its size of the total moment is 0.000 μB/f.u. As for the density of states at the Fermi level: 33.80 states/eV per cell. For the total energy, the calculation gives -5.0042 eV per atom. The calculation puts the formation enthalpy at 0 K at 0.0423 eV/atom.